1.
Entry from Alexandria: crystalline SmTm4Ru2 at its relaxed geometry (PBE).

Output
- Energy of formation from the pure elements: -28.3 kJ per mole of atoms

CIF file:
```
data_SmTm4Ru2
_chemical_formula_sum 'Sm2 Tm8 Ru4'
_symmetry_space_group_name_H-M 'P 1'
_symmetry_Int_Tables_number 1
_symmetry_space_group_name_Hall 'P 1'
_cell_length_a 6.2958
_cell_length_b 7.9150
_cell_length_c 7.6567
_cell_angle_alpha 112.63
_cell_angle_beta 90.00
_cell_angle_gamma 90.00
loop_
_atom_site_label
_atom_site_type_symbol
_atom_site_fract_x
_atom_site_fract_y
_atom_site_fract_z
Tm1 Tm 0.4993 0.5840 0.2440
Tm2 Tm 0.0007 0.5840 0.2440
Tm3 Tm 0.9993 0.4160 0.7560
Ru1 Ru 0.7500 0.7361 0.0242
Tm4 Tm 0.7500 0.0193 0.3821
Sm1 Sm 0.7500 0.1641 0.0200
Ru2 Ru 0.7500 0.3740 0.4163
Tm5 Tm 0.2500 0.9807 0.6179
Ru3 Ru 0.2500 0.2639 0.9758
Tm6 Tm 0.7500 0.7460 0.6732
Sm2 Sm 0.2500 0.8359 0.9800
Tm7 Tm 0.2500 0.2540 0.3268
Ru4 Ru 0.2500 0.6260 0.5837
Tm8 Tm 0.5007 0.4160 0.7560
```

=====

2.
Entry from Alexandria: crystalline Sm2DyY5Th at its relaxed geometry (PBE).

Output
- Energy of formation from the pure elements: 28.2 kJ per mole of atoms

CIF file:
```
data_Sm2DyY5Th
_chemical_formula_sum 'Sm4 Dy2 Y10 Th2'
_symmetry_space_group_name_H-M 'P 1'
_symmetry_Int_Tables_number 1
_symmetry_space_group_name_Hall 'P 1'
_cell_length_a 8.7628
_cell_length_b 8.7628
_cell_length_c 9.8592
_cell_angle_alpha 116.38
_cell_angle_beta 116.38
_cell_angle_gamma 90.00
loop_
_atom_site_label
_atom_site_type_symbol
_atom_site_fract_x
_atom_site_fract_y
_atom_site_fract_z
Y1 Y 0.5734 0.6506 0.7239
Y2 Y 0.6506 0.1506 0.7239
Y3 Y 0.9266 0.4266 0.2761
Y4 Y 0.4266 0.3494 0.2761
Y5 Y 0.5000 0.5000 0.0000
Sm1 Sm 0.1151 0.3849 0.0000
Sm2 Sm 0.3849 0.8849 0.0000
Sm3 Sm 0.6151 0.1151 0.0000
Dy1 Dy 0.7500 0.2500 0.5000
Sm4 Sm 0.8849 0.6151 0.0000
Y6 Y 0.3494 0.8494 0.2761
Y7 Y 0.1506 0.0734 0.7239
Th1 Th 0.2500 0.2500 0.5000
Y8 Y 0.8494 0.9266 0.2761
Y9 Y 0.0000 0.0000 0.0000
Y10 Y 0.0734 0.5734 0.7239
Th2 Th 0.7500 0.7500 0.5000
Dy2 Dy 0.2500 0.7500 0.5000
```

=====

3.
Entry from Alexandria: crystalline Ag2PCl at its relaxed geometry (PBE).

Output
- ΔE_f (raw): 101 kJ/mol of formula units

CIF file:
```
data_Ag2PCl
_chemical_formula_sum 'Ag2 P1 Cl1'
_symmetry_space_group_name_H-M 'P 1'
_symmetry_Int_Tables_number 1
_symmetry_space_group_name_Hall 'P 1'
_cell_length_a 3.3164
_cell_length_b 7.1459
_cell_length_c 3.9605
_cell_angle_alpha 90.00
_cell_angle_beta 90.00
_cell_angle_gamma 90.00
loop_
_atom_site_label
_atom_site_type_symbol
_atom_site_fract_x
_atom_site_fract_y
_atom_site_fract_z
Cl1 Cl 0.5000 0.0000 0.5000
P1 P 0.0000 0.5000 0.5000
Ag1 Ag 0.0000 0.0000 0.0000
Ag2 Ag 0.5000 0.5000 0.0000
```

=====

4.
Entry from Alexandria: crystalline PmDy2Tl at its relaxed geometry (PBE).

Output
- Energy of formation from the pure elements: -0.9 kJ per mole of atoms

CIF file:
```
data_PmDy2Tl
_chemical_formula_sum 'Pm1 Dy2 Tl1'
_symmetry_space_group_name_H-M 'P 1'
_symmetry_Int_Tables_number 1
_symmetry_space_group_name_Hall 'P 1'
_cell_length_a 5.4976
_cell_length_b 5.4976
_cell_length_c 5.4976
_cell_angle_alpha 60.00
_cell_angle_beta 60.00
_cell_angle_gamma 60.00
loop_
_atom_site_label
_atom_site_type_symbol
_atom_site_fract_x
_atom_site_fract_y
_atom_site_fract_z
Dy1 Dy 0.2500 0.2500 0.2500
Pm1 Pm 0.0000 0.0000 0.0000
Tl1 Tl 0.5000 0.5000 0.5000
Dy2 Dy 0.7500 0.7500 0.7500
```

=====

5.
Entry from Alexandria: crystalline V2ZnRu at its relaxed geometry (PBE).

Output
- Energy of formation from the pure elements: -2.1 kJ per mole of atoms

CIF file:
```
data_V2ZnRu
_chemical_formula_sum 'V2 Zn1 Ru1'
_symmetry_space_group_name_H-M 'P 1'
_symmetry_Int_Tables_number 1
_symmetry_space_group_name_Hall 'P 1'
_cell_length_a 3.1464
_cell_length_b 3.1464
_cell_length_c 5.5646
_cell_angle_alpha 90.00
_cell_angle_beta 90.00
_cell_angle_gamma 90.00
loop_
_atom_site_label
_atom_site_type_symbol
_atom_site_fract_x
_atom_site_fract_y
_atom_site_fract_z
V1 V 0.0000 0.0000 0.2581
Zn1 Zn 0.5000 0.5000 0.0000
V2 V 0.0000 0.0000 0.7419
Ru1 Ru 0.5000 0.5000 0.5000
```

=====

6.
Entry from Alexandria: crystalline VPPd6 at its relaxed geometry (PBE).

Output
- Energy of formation from the pure elements: -8.9 kJ per mole of atoms

CIF file:
```
data_VPPd6
_chemical_formula_sum 'V1 P1 Pd6'
_symmetry_space_group_name_H-M 'P 1'
_symmetry_Int_Tables_number 1
_symmetry_space_group_name_Hall 'P 1'
_cell_length_a 5.9986
_cell_length_b 6.0101
_cell_length_c 5.3316
_cell_angle_alpha 55.74
_cell_angle_beta 55.85
_cell_angle_gamma 59.98
loop_
_atom_site_label
_atom_site_type_symbol
_atom_site_fract_x
_atom_site_fract_y
_atom_site_fract_z
Pd1 Pd 0.9813 0.5361 0.2423
Pd2 Pd 0.0187 0.4639 0.7577
Pd3 Pd 0.7596 0.0183 0.7572
P1 P 0.0000 0.0000 0.0000
Pd4 Pd 0.4636 0.7598 0.7581
Pd5 Pd 0.2404 0.9817 0.2428
V1 V 0.5000 0.5000 0.5000
Pd6 Pd 0.5364 0.2402 0.2419
```

=====

7.
Entry from Alexandria: crystalline La12GaSn4N3 at its relaxed geometry (PBE).

Output
- ΔE_f (raw): -1541 kJ/mol of formula units

CIF file:
```
data_La12GaSn4N3
_chemical_formula_sum 'La12 Ga1 Sn4 N3'
_symmetry_space_group_name_H-M 'P 1'
_symmetry_Int_Tables_number 1
_symmetry_space_group_name_Hall 'P 1'
_cell_length_a 9.0953
_cell_length_b 9.0953
_cell_length_c 9.0953
_cell_angle_alpha 109.47
_cell_angle_beta 109.47
_cell_angle_gamma 109.47
loop_
_atom_site_label
_atom_site_type_symbol
_atom_site_fract_x
_atom_site_fract_y
_atom_site_fract_z
La1 La 0.2500 0.7500 0.5000
Sn1 Sn 0.0000 0.0000 0.5000
Sn2 Sn 0.5000 0.5000 0.5000
Sn3 Sn 0.5000 0.0000 0.0000
La2 La 0.7500 0.2500 0.5000
N1 N 0.0000 0.5000 0.5000
La3 La 0.7296 0.0000 0.7296
La4 La 0.2704 0.2704 0.0000
Sn4 Sn 0.0000 0.5000 0.0000
La5 La 0.5000 0.2500 0.7500
La6 La 0.2704 0.0000 0.2704
La7 La 0.5000 0.7500 0.2500
La8 La 0.0000 0.7296 0.7296
La9 La 0.7500 0.5000 0.2500
La10 La 0.7296 0.7296 0.0000
N2 N 0.5000 0.0000 0.5000
Ga1 Ga 0.0000 0.0000 0.0000
La11 La 0.2500 0.5000 0.7500
N3 N 0.5000 0.5000 0.0000
La12 La 0.0000 0.2704 0.2704
```

=====

8.
Entry from Alexandria: crystalline NaPr3Hg5 at its relaxed geometry (PBE).

Output
- Energy of formation from the pure elements: -38.8 kJ per mole of atoms

CIF file:
```
data_NaPr3Hg5
_chemical_formula_sum 'Na2 Pr6 Hg10'
_symmetry_space_group_name_H-M 'P 1'
_symmetry_Int_Tables_number 1
_symmetry_space_group_name_Hall 'P 1'
_cell_length_a 6.5646
_cell_length_b 9.3369
_cell_length_c 9.3370
_cell_angle_alpha 120.00
_cell_angle_beta 90.00
_cell_angle_gamma 90.00
loop_
_atom_site_label
_atom_site_type_symbol
_atom_site_fract_x
_atom_site_fract_y
_atom_site_fract_z
Hg1 Hg 0.5000 0.3333 0.6667
Pr1 Pr 0.7500 0.6367 0.0000
Hg2 Hg 0.2500 0.6976 0.0000
Pr2 Pr 0.7500 0.3633 0.3633
Hg3 Hg 0.2500 0.3024 0.3024
Hg4 Hg 0.0000 0.3333 0.6667
Hg5 Hg 0.7500 0.6976 0.6976
Hg6 Hg 0.5000 0.6667 0.3333
Hg7 Hg 0.2500 0.0000 0.6976
Na1 Na 0.5000 0.0000 0.0000
Pr3 Pr 0.7500 0.0000 0.6367
Pr4 Pr 0.2500 0.0000 0.3633
Na2 Na 0.0000 0.0000 0.0000
Pr5 Pr 0.2500 0.6367 0.6367
Hg8 Hg 0.7500 0.0000 0.3024
Hg9 Hg 0.7500 0.3024 0.0000
Pr6 Pr 0.2500 0.3633 0.0000
Hg10 Hg 0.0000 0.6667 0.3333
```

=====

9.
Entry from Alexandria: crystalline Zr2SnI at its relaxed geometry (PBE).

Output
- ΔE_f (raw): -80 kJ/mol of formula units

CIF file:
```
data_Zr2SnI
_chemical_formula_sum 'Zr2 Sn1 I1'
_symmetry_space_group_name_H-M 'P 1'
_symmetry_Int_Tables_number 1
_symmetry_space_group_name_Hall 'P 1'
_cell_length_a 5.0876
_cell_length_b 5.0876
_cell_length_c 5.0876
_cell_angle_alpha 60.00
_cell_angle_beta 60.00
_cell_angle_gamma 60.00
loop_
_atom_site_label
_atom_site_type_symbol
_atom_site_fract_x
_atom_site_fract_y
_atom_site_fract_z
I1 I 0.5000 0.5000 0.5000
Zr1 Zr 0.7500 0.7500 0.7500
Zr2 Zr 0.2500 0.2500 0.2500
Sn1 Sn 0.0000 0.0000 0.0000
```

=====

10.
Entry from Alexandria: crystalline YVCu at its relaxed geometry (PBE).

Output
- Energy of formation from the pure elements: 15.5 kJ per mole of atoms

CIF file:
```
data_YVCu
_chemical_formula_sum 'Y2 V2 Cu2'
_symmetry_space_group_name_H-M 'P 1'
_symmetry_Int_Tables_number 1
_symmetry_space_group_name_Hall 'P 1'
_cell_length_a 4.8847
_cell_length_b 3.4523
_cell_length_c 9.5961
_cell_angle_alpha 90.00
_cell_angle_beta 90.00
_cell_angle_gamma 135.03
loop_
_atom_site_label
_atom_site_type_symbol
_atom_site_fract_x
_atom_site_fract_y
_atom_site_fract_z
V1 V 0.1944 0.3889 0.3986
Y1 Y 0.6945 0.3889 0.1847
Y2 Y 0.6945 0.3889 0.8153
Cu1 Cu 0.1944 0.3888 0.0000
Cu2 Cu 0.6944 0.3888 0.5000
V2 V 0.1944 0.3889 0.6014
```

=====

11.
Entry from Alexandria: crystalline AcTmTh at its relaxed geometry (PBE).

Output
- Energy of formation from the pure elements: 9.3 kJ per mole of atoms

CIF file:
```
data_AcTmTh
_chemical_formula_sum 'Ac1 Tm1 Th1'
_symmetry_space_group_name_H-M 'P 1'
_symmetry_Int_Tables_number 1
_symmetry_space_group_name_Hall 'P 1'
_cell_length_a 3.7032
_cell_length_b 3.7032
_cell_length_c 8.1801
_cell_angle_alpha 103.08
_cell_angle_beta 103.08
_cell_angle_gamma 90.00
loop_
_atom_site_label
_atom_site_type_symbol
_atom_site_fract_x
_atom_site_fract_y
_atom_site_fract_z
Tm1 Tm 0.6780 0.6780 0.3561
Ac1 Ac 0.9955 0.9955 0.9910
Th1 Th 0.3265 0.3265 0.6529
```

=====

12.
Entry from Alexandria: crystalline MnRe2Se at its relaxed geometry (PBE).

Output
- ΔE_f (raw): 237 kJ/mol of formula units

CIF file:
```
data_MnRe2Se
_chemical_formula_sum 'Mn1 Re2 Se1'
_symmetry_space_group_name_H-M 'P 1'
_symmetry_Int_Tables_number 1
_symmetry_space_group_name_Hall 'P 1'
_cell_length_a 2.6924
_cell_length_b 2.6924
_cell_length_c 9.0801
_cell_angle_alpha 90.00
_cell_angle_beta 90.00
_cell_angle_gamma 111.22
loop_
_atom_site_label
_atom_site_type_symbol
_atom_site_fract_x
_atom_site_fract_y
_atom_site_fract_z
Mn1 Mn 0.5000 0.5000 0.7500
Se1 Se 0.5000 0.5000 0.2500
Re1 Re 0.0000 0.0000 0.9716
Re2 Re 0.0000 0.0000 0.5284
```

=====

Number 1: mass density 9.7 g/cm3, calculated total energy -86.42 eV for the cell shown. Number 2: mass density 6.4 g/cm3, calculated total energy -102.30 eV for the cell shown. Number 3: mass density 5.0 g/cm3, calculated total energy -11.91 eV for the cell shown. Number 4: mass density 9.5 g/cm3, calculated total energy -16.36 eV for the cell shown. Number 5: mass density 8.1 g/cm3, calculated total energy -28.88 eV for the cell shown. Number 6: mass density 9.4 g/cm3, calculated total energy -46.42 eV for the cell shown. Number 7: mass density 6.5 g/cm3, calculated total energy -119.12 eV for the cell shown. Number 8: mass density 9.7 g/cm3, calculated total energy -41.57 eV for the cell shown. Number 9: mass density 7.6 g/cm3, calculated total energy -23.48 eV for the cell shown. Number 10: mass density 5.9 g/cm3, calculated total energy -38.39 eV for the cell shown. Number 11: mass density 9.8 g/cm3, calculated total energy -15.71 eV for the cell shown. Number 12: mass density 13.7 g/cm3, calculated total energy -35.10 eV for the cell shown.